A plane-wave DFT calculation with PBE was carried out for Li2Ce3TaO9 after structural relaxation.

Output
Total DFT energy (no corrections) in eV per formula unit: -119.37
Raw formation energy in eV per atom: -2.751
Magnetization in μB per formula unit: 1.1

Cell: 5.509 5.509 6.790 Å, 90.00 90.00 120.00°
Element x y z (fractional)
Li 0.667 0.333 0.808
Li 0.333 0.667 0.192
O 0.841 0.159 0.685
O 0.318 0.159 0.685
O 0.159 0.841 0.315
O 0.841 0.682 0.685
O 0.500 0.000 0.000
O 0.682 0.841 0.315
O 0.500 0.500 0.000
O 0.159 0.318 0.315
O 0.000 0.500 0.000
Ce 0.667 0.333 0.238
Ce 0.000 0.000 0.000
Ce 0.333 0.667 0.762
Ta 0.000 0.000 0.500